[1]
Compound: TlZnCr
Source: Alexandria via LeMat-Bulk
Functional: GGA-PBE
Structure: relaxed

The structure in POSCAR format:
```
TlZnCr
1.0
0.000 3.146 3.146
3.146 0.000 3.146
3.146 3.146 0.000
Tl Zn Cr
1 1 1
Direct
0.000 0.000 0.000
0.250 0.250 0.250
0.500 0.500 0.500
```

Summary:
- Energy of formation from the pure elements: 1.7 eV/f.u.
- E_tot: -11.6 eV per cell
- Mass density: 8.6 Mg/m³
- Magnetic moment: 3.6 μB per cell
- Energy above the lowest structure with this stoichiometry: 101 meV/atom


[2]
Compound: MnCo2Tc
Source: Alexandria via LeMat-Bulk
Functional: GGA-PBE
Structure: relaxed

The structure in POSCAR format:
```
MnCo2Tc
1.0
-1.732 1.732 8.364
1.732 -1.732 8.364
1.732 1.732 -8.364
Mn Co Tc
2 4 2
Direct
0.000 0.000 0.000
0.750 0.250 0.500
0.106 0.625 0.981
0.375 0.356 0.481
0.644 0.125 0.019
0.875 0.894 0.519
0.250 0.750 0.500
0.500 0.500 0.000
```

Summary:
- Energy of formation from the pure elements: 2.3 eV/f.u.
- E_tot: -63.0 eV per cell
- Mass density: 9.0 Mg/m³
- Magnetic moment: 3.7 μB per cell
- Energy above the lowest structure with this stoichiometry: 555 meV/atom


[3]
Compound: LaRu2F
Source: Alexandria via LeMat-Bulk
Functional: GGA-PBE
Structure: relaxed

The structure in POSCAR format:
```
LaRu2F
1.0
-1.773 1.773 11.538
1.773 -1.773 11.538
1.773 1.773 -11.538
La Ru F
2 4 2
Direct
0.000 0.000 0.000
0.750 0.250 0.500
0.116 0.125 0.491
0.375 0.884 0.009
0.634 0.625 0.509
0.875 0.366 0.991
0.250 0.750 0.500
0.500 0.500 0.000
```

Summary:
- E_tot: -57.3 eV per cell
- Mass density: 8.2 Mg/m³
- Formation energy (no corrections): -0.82 eV/atom
- Magnetic moment: 0.0 μB per cell
- Energy above the lowest structure with this stoichiometry: 0 meV/atom


[4]
Compound: RbMoP2S
Source: Alexandria via LeMat-Bulk
Functional: GGA-PBE
Structure: relaxed

The structure in POSCAR format:
```
RbMoP2S
1.0
5.107 0.000 0.000
0.000 5.107 0.000
0.000 0.000 5.126
Rb Mo P S
1 1 2 1
Direct
0.000 0.000 0.000
0.500 0.500 0.500
0.000 0.500 0.000
0.500 0.000 0.000
0.000 0.000 0.500
```

Summary:
- E_tot: -13.5 eV per cell
- Mass density: 3.4 Mg/m³
- Formation energy (no corrections): 2.65 eV/atom
- Magnetic moment: 0.2 μB per cell
- Energy above the lowest structure with this stoichiometry: 2739 meV/atom


[5]
Compound: YHo2Er9
Source: Alexandria via LeMat-Bulk
Functional: GGA-PBE
Structure: relaxed

The structure in POSCAR format:
```
YHo2Er9
1.0
11.102 0.000 0.000
-5.551 9.614 0.000
0.000 0.000 3.476
Y Ho Er
1 2 9
Direct
0.000 0.000 0.000
0.333 0.667 0.000
0.667 0.333 0.000
0.000 0.500 0.000
0.177 0.354 0.500
0.177 0.823 0.500
0.354 0.177 0.500
0.500 0.000 0.000
0.500 0.500 0.000
0.646 0.823 0.500
0.823 0.177 0.500
0.823 0.646 0.500
```

Summary:
- Energy of formation from the pure elements: 0.6 eV/f.u.
- E_tot: -56.1 eV per cell
- Mass density: 8.6 Mg/m³
- Magnetic moment: 0.0 μB per cell
- Energy above the lowest structure with this stoichiometry: 28 meV/atom


[6]
Compound: LiSi4Cl
Source: Alexandria via LeMat-Bulk
Functional: GGA-PBE
Structure: relaxed

The structure in POSCAR format:
```
LiSi4Cl
1.0
0.000 3.684 3.684
3.684 0.000 3.684
3.684 3.684 0.000
Li Si Cl
1 4 1
Direct
0.000 0.000 0.000
0.126 0.625 0.625
0.625 0.126 0.625
0.625 0.625 0.126
0.625 0.625 0.625
0.250 0.250 0.250
```

Summary:
- E_tot: -24.1 eV per cell
- Mass density: 2.6 Mg/m³
- Formation energy (no corrections): 0.23 eV/atom
- Magnetic moment: 0.0 μB per cell


[7]
Compound: NaFeIr
Source: Alexandria via LeMat-Bulk
Functional: GGA-PBE
Structure: relaxed

The structure in POSCAR format:
```
NaFeIr
1.0
4.846 0.000 0.000
0.000 4.395 0.000
-2.263 0.000 5.321
Na Fe Ir
2 2 2
Direct
0.230 0.000 0.499
0.770 0.500 0.501
0.412 0.001 0.056
0.588 0.501 0.944
0.151 0.501 0.053
0.849 0.001 0.947
```

Summary:
- Energy of formation from the pure elements: 0.9 eV/f.u.
- E_tot: -35.5 eV per cell
- Mass density: 7.9 Mg/m³
- Magnetic moment: 6.0 μB per cell
- Energy above the lowest structure with this stoichiometry: 42 meV/atom


[8]
Compound: CdNi3N
Source: Alexandria via LeMat-Bulk
Functional: GGA-PBE
Structure: relaxed

The structure in POSCAR format:
```
CdNi3N
1.0
3.853 0.000 0.000
0.000 3.853 0.000
0.000 0.000 3.853
Cd Ni N
1 3 1
Direct
0.000 0.000 0.000
0.000 0.500 0.500
0.500 0.000 0.500
0.500 0.500 0.000
0.500 0.500 0.500
```

Summary:
- E_tot: -26.9 eV per cell
- Mass density: 8.8 Mg/m³
- Formation energy (no corrections): -0.06 eV/atom
- Magnetic moment: 0.0 μB per cell
- Energy above the lowest structure with this stoichiometry: 0 meV/atom